No. 1
Compound: TbSmY4
Source: Alexandria via LeMat-Bulk
Functional: GGA-PBE
Structure: optimized geometry

Summary:
The energy above the lowest structure with this stoichiometry comes out at 190 meV/atom. The value obtained for the formation energy is 19.0 kJ per mole of atoms. The density comes out at 5.5 g cm⁻³.

Unit cell a=3.4515 b=5.8875 c=9.9047 alpha=90.00 beta=90.00 gamma=90.00
Closest atoms and distances in Å follow each position.
Space group Pmmm (No. 47)
Inequivalent atoms, fractional coordinates:
Tb: 0.0000 0.0000 0.0000 x1  2 Tb 3.45, 8 Y 3.47-3.55
Sm: 0.5000 0.5000 0.5000 x1  2 Sm 3.45, 8 Y 3.48-3.56
Y: 0.0000 0.5000 0.1854 x2  7 Y 3.45-3.67, 2 Tb 3.47, 2 Sm 3.56
Y: 0.5000 0.0000 0.3128 x2  7 Y 3.45-3.71, 2 Sm 3.48, 2 Tb 3.55

No. 2
Compound: Tb7Sm4Y
Source: Alexandria via LeMat-Bulk
Functional: GGA-PBE
Structure: optimized geometry

Summary:
The energy above the lowest structure with this stoichiometry comes out at 0 meV/atom. The value obtained for the formation energy is 8.2 kJ per mole of atoms. The density comes out at 7.6 g cm⁻³.

Unit cell a=6.5535 b=6.8510 c=9.1030 alpha=85.98 beta=77.36 gamma=82.35
Closest atoms and distances in Å follow each position.
Space group P-1 (No. 2)
Inequivalent atoms, fractional coordinates:
Tb: 0.0000 0.0000 0.0000 x1  4 Sm 3.38-3.67, 2 Y 3.43, 4 Tb 3.53-3.75
Tb: 0.1899 0.6055 0.3851 x2  5 Tb 3.30-3.62, 5 Sm 3.34-3.66
Tb: 0.3161 0.1996 0.6401 x2  5 Tb 3.39-3.75, 4 Sm 3.48-3.57
Tb: 0.4870 0.7480 0.0518 x2  4 Sm 3.38-3.73, 5 Tb 3.38-3.56, 1 Y 3.51
Sm: 0.1578 0.1149 0.3089 x2  7 Tb 3.38-3.73, 2 Sm 3.52-3.54
Sm: 0.3624 0.6932 0.7170 x2  8 Tb 3.34-3.71, 1 Y 3.42, 2 Sm 3.52-3.54
Y: 0.0000 0.5000 0.0000 x1  2 Sm 3.42, 4 Tb 3.43-3.51

No. 3
Compound: Tb2Sm7Y
Source: Alexandria via LeMat-Bulk
Functional: GGA-PBE
Structure: optimized geometry

Summary:
The energy above the lowest structure with this stoichiometry comes out at 0 meV/atom. The value obtained for the formation energy is 1.5 kJ per mole of atoms. The density comes out at 7.3 g cm⁻³.

Unit cell a=6.2501 b=6.2504 c=9.5527 alpha=102.59 beta=109.08 gamma=99.58
Closest atoms and distances in Å follow each position.
Space group P-1 (No. 2)
Inequivalent atoms, fractional coordinates:
Tb: 0.2003 0.9998 0.4008 x2  9 Sm 3.60-3.61, 2 Tb 3.60, 1 Y 3.62
Sm: 0.0000 0.5000 0.5000 x1  8 Sm 3.60-3.61, 4 Tb 3.60-3.61
Sm: 0.1998 0.4989 0.8996 x2  2 Y 3.60-3.61, 9 Sm 3.61-3.62, 1 Tb 3.61
Sm: 0.3998 0.9996 0.7993 x2  3 Tb 3.60-3.61, 7 Sm 3.61-3.62, 2 Y 3.61
Sm: 0.3998 0.5004 0.3005 x2  8 Sm 3.60-3.62, 3 Tb 3.60-3.61, 1 Y 3.61
Y: 0.0000 0.0000 0.0000 x1  10 Sm 3.60-3.61, 2 Tb 3.62

No. 4
Compound: Tb2Sm4Y5
Source: Alexandria via LeMat-Bulk
Functional: GGA-PBE
Structure: optimized geometry

Summary:
The energy above the lowest structure with this stoichiometry comes out at 0 meV/atom. The value obtained for the formation energy is 8.3 kJ per mole of atoms. The density comes out at 6.2 g cm⁻³.

Unit cell a=17.6479 b=3.5405 c=11.7285 alpha=90.00 beta=93.88 gamma=90.00
Closest atoms and distances in Å follow each position.
Space group C2/m (No. 12)
Inequivalent atoms, fractional coordinates:
Tb: 0.2146 0.0000 0.3490 x4  5 Y 3.49-3.73, 2 Tb 3.54, 4 Sm 3.63-3.72
Sm: 0.0353 0.5000 0.2594 x4  5 Y 3.37-3.54, 4 Sm 3.54-3.61, 2 Tb 3.72
Sm: 0.1414 0.0000 0.7980 x4  6 Y 3.45-3.67, 4 Sm 3.54-3.61, 2 Tb 3.63
Y: 0.0000 0.0000 0.0000 x2  6 Sm 3.54-3.55, 6 Y 3.54-3.65
Y: 0.0978 0.5000 0.5370 x4  4 Sm 3.37-3.57, 3 Tb 3.49-3.59, 3 Y 3.50-3.54
Y: 0.1777 0.5000 0.0707 x4  4 Sm 3.45-3.67, 6 Y 3.54-3.65, 2 Tb 3.73

No. 5
Compound: Tb5Sm5Y
Source: Alexandria via LeMat-Bulk
Functional: GGA-PBE
Structure: optimized geometry

Summary:
The value obtained for the formation energy is 29.0 kJ per mole of atoms. The density comes out at 7.2 g cm⁻³.

Unit cell a=6.1244 b=6.1244 c=11.6424 alpha=90.00 beta=90.00 gamma=120.00
Closest atoms and distances in Å follow each position.
Space group P-6m2 (No. 187)
Inequivalent atoms, fractional coordinates:
Tb: 0.0000 0.0000 0.2350 x2  1 Sm 3.09, 3 Tb 3.26
Tb: 0.3354 0.1677 0.0000 x3  6 Tb 3.04-3.26
Sm: 0.0000 0.0000 0.5000 x1  2 Tb 3.09
Sm: 0.3333 0.6667 0.1819 x2  9 Tb 3.59-3.72, 1 Y 3.70, 3 Sm 4.01
Sm: 0.6667 0.3333 0.3440 x2  7 Sm 3.63-4.01, 3 Tb 3.76, 3 Y 3.98
Y: 0.3333 0.6667 0.5000 x1  5 Sm 3.54-3.70

No. 6
Compound: TbSm4Y6
Source: Alexandria via LeMat-Bulk
Functional: GGA-PBE
Structure: optimized geometry

Summary:
The energy above the lowest structure with this stoichiometry comes out at 45 meV/atom. The value obtained for the formation energy is 15.6 kJ per mole of atoms. The density comes out at 5.8 g cm⁻³.

Unit cell a=10.9637 b=10.9637 c=3.5868 alpha=90.00 beta=90.00 gamma=120.00
Closest atoms and distances in Å follow each position.
Space group P-6m2 (No. 187)
Inequivalent atoms, fractional coordinates:
Tb: 0.0000 0.0000 0.0000 x1  6 Sm 3.53, 2 Tb 3.59, 6 Y 3.91
Sm: 0.3197 0.1599 0.5000 x3  6 Y 3.28-3.55, 2 Tb 3.53, 2 Sm 3.59
Sm: 0.3333 0.6667 0.0000 x1  9 Y 3.37-3.55, 2 Sm 3.59
Y: 0.1830 0.3660 0.5000 x3  4 Sm 3.28-3.37, 2 Y 3.59
Y: 0.5205 0.0410 0.0000 x3  5 Sm 3.55, 6 Y 3.59-3.72

No. 7
Compound: TbSm4Y3
Source: Alexandria via LeMat-Bulk
Functional: GGA-PBE
Structure: optimized geometry

Summary:
The energy above the lowest structure with this stoichiometry comes out at 150 meV/atom. The value obtained for the formation energy is 16.3 kJ per mole of atoms. The density comes out at 6.3 g cm⁻³.

Unit cell a=23.6418 b=3.4878 c=6.8015 alpha=90.00 beta=106.49 gamma=90.00
Closest atoms and distances in Å follow each position.
Space group C2/m (No. 12)
Inequivalent atoms, fractional coordinates:
Tb: 0.0000 0.0000 0.0000 x2  2 Tb 3.49, 8 Y 3.69-3.82, 4 Sm 3.71
Sm: 0.1241 0.5000 0.3691 x4  3 Y 3.30-3.49, 5 Sm 3.49-3.57
Sm: 0.2402 0.0000 0.2395 x4  9 Sm 3.49-3.86, 3 Y 3.54-3.57
Y: 0.0000 0.5000 0.5000 x2  2 Sm 3.30, 4 Y 3.32-3.49
Y: 0.1239 0.5000 0.8818 x4  5 Sm 3.31-3.57, 3 Y 3.32-3.49, 2 Tb 3.69

No. 8
Compound: Tb6Sm12Y
Source: Alexandria via LeMat-Bulk
Functional: GGA-PBE
Structure: optimized geometry

Summary:
The energy above the lowest structure with this stoichiometry comes out at 0 meV/atom. The value obtained for the formation energy is 13.7 kJ per mole of atoms. The density comes out at 7.3 g cm⁻³.

Unit cell a=12.0978 b=12.0978 c=15.2375 alpha=90.00 beta=90.00 gamma=120.00
Closest atoms and distances in Å follow each position.
Space group R-3 (No. 148, hexagonal axes)
Inequivalent atoms, fractional coordinates:
Tb: 0.0131 0.5887 0.1853 x18  7 Sm 3.35-3.72, 1 Y 3.51, 2 Tb 3.54
Sm: 0.0058 0.1752 0.6911 x18  4 Sm 3.46-3.62, 4 Tb 3.52-3.72, 1 Y 3.58
Sm: 0.0451 0.1948 0.9166 x18  6 Sm 3.32-3.70, 3 Tb 3.35-3.48
Y: 0.0000 0.0000 0.5000 x3  6 Tb 3.51, 6 Sm 3.58

No. 9
Compound: TbSmY
Source: Alexandria via LeMat-Bulk
Functional: GGA-PBE
Structure: optimized geometry

Summary:
The energy above the lowest structure with this stoichiometry comes out at 112 meV/atom. The value obtained for the formation energy is 11.2 kJ per mole of atoms. The density comes out at 6.7 g cm⁻³.

Unit cell a=4.2045 b=4.2045 c=11.1397 alpha=90.00 beta=90.00 gamma=90.00
Closest atoms and distances in Å follow each position.
Space group I4mm (No. 107)
Inequivalent atoms, fractional coordinates:
Tb: 0.0000 0.0000 0.0000 x2  5 Y 3.47-3.78, 5 Sm 3.53-3.67
Sm: 0.0000 0.0000 0.6707 x2  5 Y 3.51-3.70, 5 Tb 3.53-3.67
Y: 0.0000 0.0000 0.3390 x2  5 Tb 3.47-3.78, 5 Sm 3.51-3.70

No. 10
Compound: Tb4Sm5Y3
Source: Alexandria via LeMat-Bulk
Functional: GGA-PBE
Structure: optimized geometry

Summary:
The energy above the lowest structure with this stoichiometry comes out at 0 meV/atom. The value obtained for the formation energy is 1.4 kJ per mole of atoms. The density comes out at 7.0 g cm⁻³.

Unit cell a=6.2194 b=7.1822 c=8.7951 alpha=90.06 beta=90.14 gamma=90.16
Closest atoms and distances in Å follow each position.
Space group P-1 (No. 2)
Inequivalent atoms, fractional coordinates:
Tb: 0.1659 0.9997 0.1661 x2  4 Tb 3.57-3.60, 3 Y 3.58-3.59, 5 Sm 3.59-3.60
Tb: 0.3330 0.2494 0.8344 x2  4 Y 3.57-3.60, 3 Tb 3.58-3.60, 5 Sm 3.58-3.60
Sm: 0.0006 0.2489 0.5006 x2  6 Sm 3.58-3.61, 3 Tb 3.59-3.60, 3 Y 3.59-3.60
Sm: 0.1667 0.5004 0.1661 x2  3 Sm 3.58-3.61, 4 Y 3.58-3.60, 5 Tb 3.58-3.60
Sm: 0.5000 0.0000 0.5000 x1  4 Sm 3.59, 4 Y 3.59-3.60, 4 Tb 3.59-3.60
Y: 0.3335 0.7509 0.8349 x2  6 Tb 3.57-3.60, 5 Sm 3.58-3.60, 1 Y 3.61
Y: 0.5000 0.5000 0.5000 x1  8 Sm 3.59-3.60, 2 Tb 3.60, 2 Y 3.61

No. 11
Compound: Tb3Sm6Y2
Source: Alexandria via LeMat-Bulk
Functional: GGA-PBE
Structure: optimized geometry

Summary:
The energy above the lowest structure with this stoichiometry comes out at 0 meV/atom. The value obtained for the formation energy is 1.3 kJ per mole of atoms. The density comes out at 7.1 g cm⁻³.

Unit cell a=3.6013 b=3.6013 c=96.7160 alpha=90.00 beta=90.00 gamma=120.00
Closest atoms and distances in Å follow each position.
Space group R-3m (No. 166, hexagonal axes)
Inequivalent atoms, fractional coordinates:
Tb: 0.0000 0.0000 0.0000 x3  6 Sm 3.59, 6 Tb 3.60
Tb: 0.0000 0.0000 0.2729 x6  6 Sm 3.59, 6 Tb 3.60
Sm: 0.0000 0.0000 0.0907 x6  3 Tb 3.59, 3 Y 3.59, 6 Sm 3.60
Sm: 0.0000 0.0000 0.1820 x6  3 Y 3.59, 9 Sm 3.60-3.62
Sm: 0.0000 0.0000 0.3636 x6  6 Tb 3.59, 6 Sm 3.60
Y: 0.0000 0.0000 0.4543 x6  6 Sm 3.59, 6 Y 3.60

No. 12
Compound: Tb7SmY3
Source: Alexandria via LeMat-Bulk
Functional: GGA-PBE
Structure: optimized geometry

Summary:
The energy above the lowest structure with this stoichiometry comes out at 0 meV/atom. The value obtained for the formation energy is 13.9 kJ per mole of atoms. The density comes out at 7.0 g cm⁻³.

Unit cell a=7.0233 b=5.5706 c=9.9322 alpha=90.00 beta=110.59 gamma=90.00
Closest atoms and distances in Å follow each position.
Space group P2/m (No. 10)
Inequivalent atoms, fractional coordinates:
Tb: 0.0000 0.0000 0.0000 x1  4 Y 3.40
Tb: 0.1462 0.5000 0.2921 x2  3 Tb 3.26-3.58, 2 Y 3.35
Tb: 0.3230 0.5000 0.6425 x2  5 Tb 3.26-3.58, 2 Y 3.54, 2 Sm 3.56
Tb: 0.4170 0.0000 0.8310 x2  3 Tb 3.14-3.29
Sm: 0.0000 0.0000 0.5000 x1  2 Y 3.51, 10 Tb 3.55-3.82
Y: 0.2784 0.5000 0.9997 x2  1 Y 3.11, 4 Tb 3.35-3.40
Y: 0.5000 0.0000 0.5000 x1  2 Sm 3.51, 10 Tb 3.53-3.82

Among the records above, which one has the highest density?
Tb7Sm4Y

Look up the density of the eleventh one.
7.1 g cm⁻³